The following is a PBEsol calculation of a relaxed Sm2EuSe4 crystal, from Alexandria via LeMat-Bulk.

The calculation puts the uncorrected formation energy at -1.98 eV/atom. The density of states at the Fermi level is 44.4 states/eV/cell. The total magnetization is 7.00 μB/f.u.

Cell lengths 8.770, 8.770, 8.738 Å; angles 90.00, 90.00, 90.00 degrees
Space group I-42d (No. 122)
Unique sites:
Sm1 0.127 0.750 0.125 [8 per cell]
Eu1 0.000 0.000 0.500 [4 per cell]
Se1 0.077 0.673 0.447 [16 per cell]